No. 1
La3Se: relaxed, PBE.

CIF file:
```
data_La3Se
_symmetry_space_group_name_H-M 'P 1'
_symmetry_Int_Tables_number 1
_symmetry_space_group_name_Hall 'P 1'
_cell_length_a 5.613
_cell_length_b 5.613
_cell_length_c 3.762
_cell_angle_alpha 90.00
_cell_angle_beta 90.00
_cell_angle_gamma 90.00
loop_
_atom_site_label
_atom_site_fract_x
_atom_site_fract_y
_atom_site_fract_z
La1 0.000 0.000 0.000
La2 0.500 0.000 0.500
La3 0.500 0.500 0.000
Se1 0.000 0.500 0.500
```

Formation energy without anion corrections ... -0.606 eV per atom
SG ... No. 123
Total energy ... -5.1732 eV per atom
M_tot ... 0.0000 μB/atom
Fermi-level density of states ... 0.9587 states/eV/atom

---

No. 2
NiIrRh14: relaxed, PBE.

CIF file:
```
data_NiIrRh14
_symmetry_space_group_name_H-M 'P 1'
_symmetry_Int_Tables_number 1
_symmetry_space_group_name_Hall 'P 1'
_cell_length_a 5.422
_cell_length_b 5.422
_cell_length_c 8.874
_cell_angle_alpha 90.00
_cell_angle_beta 90.00
_cell_angle_gamma 120.06
loop_
_atom_site_label
_atom_site_fract_x
_atom_site_fract_y
_atom_site_fract_z
Ni1 0.042 0.958 0.500
Ir1 0.541 0.459 0.500
Rh1 0.208 0.792 0.000
Rh2 0.708 0.292 0.000
Rh3 0.043 0.459 0.500
Rh4 0.208 0.291 0.000
Rh5 0.541 0.957 0.500
Rh6 0.709 0.792 0.000
Rh7 0.374 0.125 0.747
Rh8 0.374 0.125 0.253
Rh9 0.875 0.626 0.747
Rh10 0.875 0.626 0.253
Rh11 0.376 0.624 0.748
Rh12 0.376 0.624 0.252
Rh13 0.875 0.125 0.749
Rh14 0.875 0.125 0.251
```

SG ... No. 38
Total energy ... -7.3216 eV per atom
M_tot ... 0.1068 μB/atom
Fermi-level density of states ... 1.4454 states/eV/atom
Energy relative to the elements ... 0.6 kcal/mol of atoms

---

No. 3
Pm3DyS4: relaxed, PBE.

CIF file:
```
data_Pm3DyS4
_symmetry_space_group_name_H-M 'P 1'
_symmetry_Int_Tables_number 1
_symmetry_space_group_name_Hall 'P 1'
_cell_length_a 6.943
_cell_length_b 6.967
_cell_length_c 7.944
_cell_angle_alpha 90.00
_cell_angle_beta 90.00
_cell_angle_gamma 109.39
loop_
_atom_site_label
_atom_site_fract_x
_atom_site_fract_y
_atom_site_fract_z
S1 0.996 0.246 0.630
S2 0.500 0.242 0.879
S3 0.496 0.246 0.370
S4 0.000 0.242 0.121
S5 0.000 0.758 0.879
S6 0.504 0.754 0.630
S7 0.500 0.758 0.121
S8 0.004 0.754 0.370
Dy1 0.750 0.000 0.874
Dy2 0.250 0.000 0.126
Pm1 0.750 0.000 0.376
Pm2 0.250 0.000 0.624
Pm3 0.750 0.500 0.623
Pm4 0.750 0.500 0.126
Pm5 0.250 0.500 0.377
Pm6 0.250 0.500 0.874
```

Formation energy without anion corrections ... -2.025 eV per atom
Energy above the most stable polymorph in this dataset ... 0.0 meV/atom
SG ... No. 13
Total energy ... -6.4459 eV per atom
M_tot ... 0.0000 μB/atom
Fermi-level density of states ... 0.4530 states/eV/atom

---

No. 4
Tb6Nd2Dy5: relaxed, PBE.

CIF file:
```
data_Tb6Nd2Dy5
_symmetry_space_group_name_H-M 'P 1'
_symmetry_Int_Tables_number 1
_symmetry_space_group_name_Hall 'P 1'
_cell_length_a 3.597
_cell_length_b 11.722
_cell_length_c 20.271
_cell_angle_alpha 90.00
_cell_angle_beta 90.00
_cell_angle_gamma 90.00
loop_
_atom_site_label
_atom_site_fract_x
_atom_site_fract_y
_atom_site_fract_z
Tb1 0.000 0.079 0.366
Tb2 0.000 0.921 0.634
Tb3 0.000 0.579 0.134
Tb4 0.000 0.421 0.866
Tb5 0.500 0.322 0.128
Tb6 0.500 0.678 0.872
Tb7 0.500 0.822 0.372
Tb8 0.500 0.178 0.628
Tb9 0.000 0.559 0.422
Tb10 0.000 0.441 0.578
Tb11 0.000 0.059 0.078
Tb12 0.000 0.941 0.922
Nd1 0.000 0.332 0.285
Nd2 0.000 0.668 0.715
Nd3 0.000 0.832 0.215
Nd4 0.000 0.168 0.785
Dy1 0.500 0.300 0.448
Dy2 0.500 0.700 0.552
Dy3 0.500 0.800 0.052
Dy4 0.500 0.200 0.948
Dy5 0.500 0.592 0.278
Dy6 0.500 0.408 0.722
Dy7 0.500 0.092 0.222
Dy8 0.500 0.908 0.778
Dy9 0.500 0.500 0.000
Dy10 0.500 0.000 0.500
```

SG ... No. 55
Total energy ... -4.5424 eV per atom
M_tot ... 0.0000 μB/atom
Fermi-level density of states ... 1.2379 states/eV/atom
Energy relative to the elements ... 2.3 kcal/mol of atoms

---

No. 5
Sm2Dy3Zn2: relaxed, PBE.

CIF file:
```
data_Sm2Dy3Zn2
_symmetry_space_group_name_H-M 'P 1'
_symmetry_Int_Tables_number 1
_symmetry_space_group_name_Hall 'P 1'
_cell_length_a 4.720
_cell_length_b 6.205
_cell_length_c 8.126
_cell_angle_alpha 114.63
_cell_angle_beta 90.00
_cell_angle_gamma 112.35
loop_
_atom_site_label
_atom_site_fract_x
_atom_site_fract_y
_atom_site_fract_z
Sm1 0.864 0.727 0.208
Sm2 0.136 0.273 0.792
Dy1 0.500 0.000 0.000
Dy2 0.634 0.268 0.463
Dy3 0.366 0.732 0.537
Zn1 0.855 0.710 0.810
Zn2 0.145 0.290 0.190
```

Energy above the most stable polymorph in this dataset ... 41.9 meV/atom
SG ... No. 12
Total energy ... -3.7699 eV per atom
M_tot ... 0.0000 μB/atom
Fermi-level density of states ... 1.2154 states/eV/atom
Energy relative to the elements ... -2.0 kcal/mol of atoms

---

No. 6
Hf3Cu: relaxed, PBE.

CIF file:
```
data_Hf3Cu
_symmetry_space_group_name_H-M 'P 1'
_symmetry_Int_Tables_number 1
_symmetry_space_group_name_Hall 'P 1'
_cell_length_a 3.169
_cell_length_b 3.169
_cell_length_c 7.828
_cell_angle_alpha 90.00
_cell_angle_beta 90.00
_cell_angle_gamma 90.00
loop_
_atom_site_label
_atom_site_fract_x
_atom_site_fract_y
_atom_site_fract_z
Hf1 0.000 0.000 0.500
Hf2 0.500 0.500 0.223
Hf3 0.500 0.500 0.777
Cu1 0.000 0.000 0.000
```

SG ... No. 123
Total energy ... -8.5780 eV per atom
M_tot ... 0.0000 μB/atom
Fermi-level density of states ... 0.7949 states/eV/atom
Energy relative to the elements ... -2.0 kcal/mol of atoms

---

No. 7
La2TlMo: relaxed, PBE.

CIF file:
```
data_La2TlMo
_symmetry_space_group_name_H-M 'P 1'
_symmetry_Int_Tables_number 1
_symmetry_space_group_name_Hall 'P 1'
_cell_length_a 5.751
_cell_length_b 5.751
_cell_length_c 5.751
_cell_angle_alpha 131.53
_cell_angle_beta 131.53
_cell_angle_gamma 70.97
loop_
_atom_site_label
_atom_site_fract_x
_atom_site_fract_y
_atom_site_fract_z
La1 0.000 0.000 0.000
La2 0.250 0.750 0.500
Mo1 0.500 0.500 0.000
Tl1 0.750 0.250 0.500
```

Energy above the most stable polymorph in this dataset ... 117.8 meV/atom
SG ... No. 119
Total energy ... -5.4856 eV per atom
M_tot ... 0.2955 μB/atom
Fermi-level density of states ... 1.2440 states/eV/atom
Energy relative to the elements ... 6.4 kcal/mol of atoms

---

No. 8
Pm8Sm4Dy: relaxed, PBE.

CIF file:
```
data_Pm8Sm4Dy
_symmetry_space_group_name_H-M 'P 1'
_symmetry_Int_Tables_number 1
_symmetry_space_group_name_Hall 'P 1'
_cell_length_a 11.243
_cell_length_b 11.243
_cell_length_c 7.895
_cell_angle_alpha 90.00
_cell_angle_beta 135.40
_cell_angle_gamma 120.00
loop_
_atom_site_label
_atom_site_fract_x
_atom_site_fract_y
_atom_site_fract_z
Pm1 0.524 0.762 0.286
Pm2 0.476 0.238 0.714
Pm3 0.473 0.237 0.227
Pm4 0.009 0.246 0.773
Pm5 0.527 0.763 0.773
Pm6 0.009 0.763 0.773
Pm7 0.991 0.237 0.227
Pm8 0.991 0.754 0.227
Sm1 0.000 0.000 0.000
Sm2 0.000 0.500 0.000
Sm3 0.500 0.500 0.000
Sm4 0.500 0.000 0.000
Dy1 0.000 0.500 0.500
```

SG ... No. 166
Total energy ... -4.2506 eV per atom
M_tot ... 0.0031 μB/atom
Fermi-level density of states ... 1.5847 states/eV/atom
Energy relative to the elements ... 11.0 kcal/mol of atoms